1.
DFT (PBE-GGA) results for LiCe6S12 after structural relaxation.

Unit cell a=7.931 b=7.931 c=7.931 alpha=100.28 beta=100.28 gamma=100.28
Atoms (fractional coordinates):
Li1 0.000 0.000 0.000
Ce1 0.130 0.290 0.614
Ce2 0.290 0.614 0.130
Ce3 0.386 0.870 0.710
Ce4 0.614 0.130 0.290
Ce5 0.710 0.386 0.870
Ce6 0.870 0.710 0.386
S1 0.059 0.317 0.939
S2 0.061 0.941 0.683
S3 0.177 0.580 0.435
S4 0.317 0.939 0.059
S5 0.420 0.565 0.823
S6 0.435 0.177 0.580
S7 0.565 0.823 0.420
S8 0.580 0.435 0.177
S9 0.683 0.061 0.941
S10 0.823 0.420 0.565
S11 0.939 0.059 0.317
S12 0.941 0.683 0.061

Properties
crystal system	trigonal
volume	24.82	Å³ per atom
E_tot	-120.394	eV/cell
spin magnetization	1.64	μB/cell

2.
DFT (PBE-GGA) results for LiCe6S8 after structural relaxation.

Unit cell a=7.993 b=7.993 c=7.993 alpha=60.00 beta=60.00 gamma=60.00
Atoms (fractional coordinates):
Li1 0.000 0.000 0.000
Ce1 0.000 0.000 0.500
Ce2 0.000 0.500 0.000
Ce3 0.000 0.500 0.500
Ce4 0.500 0.000 0.000
Ce5 0.500 0.000 0.500
Ce6 0.500 0.500 0.000
S1 0.243 0.243 0.757
S2 0.243 0.757 0.243
S3 0.243 0.757 0.757
S4 0.250 0.250 0.250
S5 0.750 0.750 0.750
S6 0.757 0.243 0.243
S7 0.757 0.243 0.757
S8 0.757 0.757 0.243

Properties
crystal system	cubic
volume	24.08	Å³ per atom
E_tot	-99.359	eV/cell
spin magnetization	5.62	μB/cell

3.
DFT (PBE-GGA) results for Li5Ce3S12 after structural relaxation.

Unit cell a=13.586 b=13.586 c=13.586 alpha=109.47 beta=109.47 gamma=109.47
Atoms (fractional coordinates):
Li1 0.000 0.000 0.000
Li2 0.000 0.000 0.500
Li3 0.000 0.500 0.000
Li4 0.000 0.500 0.500
Li5 0.125 0.750 0.875
Li6 0.125 0.875 0.250
Li7 0.250 0.125 0.875
Li8 0.250 0.625 0.375
Li9 0.375 0.250 0.625
Li10 0.375 0.625 0.750
Li11 0.500 0.000 0.000
Li12 0.500 0.000 0.500
Li13 0.500 0.500 0.000
Li14 0.500 0.500 0.500
Li15 0.625 0.375 0.250
Li16 0.625 0.750 0.375
Li17 0.750 0.375 0.625
Li18 0.750 0.875 0.125
Li19 0.875 0.125 0.750
Li20 0.875 0.250 0.125
Ce1 0.125 0.250 0.375
Ce2 0.125 0.375 0.750
Ce3 0.250 0.375 0.125
Ce4 0.250 0.875 0.625
Ce5 0.375 0.125 0.250
Ce6 0.375 0.750 0.125
Ce7 0.625 0.250 0.875
Ce8 0.625 0.875 0.750
Ce9 0.750 0.125 0.375
Ce10 0.750 0.625 0.875
Ce11 0.875 0.625 0.250
Ce12 0.875 0.750 0.625
S1 0.064 0.257 0.156
S2 0.064 0.308 0.908
S3 0.092 0.656 0.400
S4 0.092 0.936 0.692
S5 0.100 0.757 0.692
S6 0.100 0.844 0.408
S7 0.156 0.064 0.257
S8 0.156 0.592 0.900
S9 0.192 0.257 0.600
S10 0.192 0.436 0.592
S11 0.243 0.308 0.900
S12 0.243 0.436 0.344
S13 0.257 0.156 0.064
S14 0.257 0.600 0.192
S15 0.308 0.900 0.243
S16 0.308 0.908 0.064
S17 0.344 0.243 0.436
S18 0.344 0.600 0.908
S19 0.400 0.092 0.656
S20 0.400 0.808 0.743
S21 0.408 0.100 0.844
S22 0.408 0.808 0.564
S23 0.436 0.344 0.243
S24 0.436 0.592 0.192
S25 0.564 0.408 0.808
S26 0.564 0.656 0.757
S27 0.592 0.192 0.436
S28 0.592 0.900 0.156
S29 0.600 0.192 0.257
S30 0.600 0.908 0.344
S31 0.656 0.400 0.092
S32 0.656 0.757 0.564
S33 0.692 0.092 0.936
S34 0.692 0.100 0.757
S35 0.743 0.400 0.808
S36 0.743 0.844 0.936
S37 0.757 0.564 0.656
S38 0.757 0.692 0.100
S39 0.808 0.564 0.408
S40 0.808 0.743 0.400
S41 0.844 0.408 0.100
S42 0.844 0.936 0.743
S43 0.900 0.156 0.592
S44 0.900 0.243 0.308
S45 0.908 0.064 0.308
S46 0.908 0.344 0.600
S47 0.936 0.692 0.092
S48 0.936 0.743 0.844

Properties
crystal system	cubic
volume	24.13	Å³ per atom
E_tot	-386.340	eV/cell
spin magnetization	9.27	μB/cell

4.
DFT (PBE-GGA) results for Li4Ce3S8 after structural relaxation.

Unit cell a=7.943 b=7.943 c=7.943 alpha=60.41 beta=60.41 gamma=60.41
Atoms (fractional coordinates):
Li1 0.000 0.000 0.000
Li2 0.135 0.135 0.135
Li3 0.500 0.500 0.500
Li4 0.865 0.865 0.865
Ce1 0.000 0.500 0.500
Ce2 0.500 0.000 0.500
Ce3 0.500 0.500 0.000
S1 0.246 0.246 0.737
S2 0.246 0.737 0.246
S3 0.258 0.258 0.258
S4 0.263 0.754 0.754
S5 0.737 0.246 0.246
S6 0.742 0.742 0.742
S7 0.754 0.263 0.754
S8 0.754 0.754 0.263

Properties
crystal system	trigonal
volume	23.84	Å³ per atom
E_tot	-81.516	eV/cell
spin magnetization	0.00	μB/cell

5.
DFT (PBE-GGA) results for Li3CeS3 after structural relaxation.

Unit cell a=7.799 b=7.799 c=7.799 alpha=54.26 beta=54.26 gamma=54.26
Atoms (fractional coordinates):
Li1 0.132 0.421 0.815
Li2 0.185 0.868 0.579
Li3 0.421 0.815 0.132
Li4 0.579 0.185 0.868
Li5 0.815 0.132 0.421
Li6 0.868 0.579 0.185
Ce1 0.333 0.333 0.333
Ce2 0.667 0.667 0.667
S1 0.082 0.727 0.449
S2 0.273 0.551 0.918
S3 0.449 0.082 0.727
S4 0.551 0.918 0.273
S5 0.727 0.449 0.082
S6 0.918 0.273 0.551

Properties
crystal system	trigonal
volume	20.75	Å³ per atom
E_tot	-69.763	eV/cell
spin magnetization	2.00	μB/cell

6.
DFT (PBE-GGA) results for Li5CeS4 after structural relaxation.

Unit cell a=7.956 b=7.956 c=7.956 alpha=150.83 beta=126.61 gamma=61.99
Atoms (fractional coordinates):
Li1 0.000 0.000 0.000
Li2 0.109 0.321 0.787
Li3 0.466 0.679 0.787
Li4 0.534 0.321 0.213
Li5 0.891 0.679 0.213
Ce1 0.500 0.000 0.500
S1 0.230 0.500 0.730
S2 0.288 0.788 0.500
S3 0.712 0.212 0.500
S4 0.770 0.500 0.270

Properties
crystal system	orthorhombic
volume	19.53	Å³ per atom
E_tot	-46.468	eV/cell
spin magnetization	1.00	μB/cell

Among the records above, which one has the highest spin magnetization? Li5Ce3S12

Repeat the fourth record exactly.
DFT (PBE-GGA) results for Li4Ce3S8 after structural relaxation.

Unit cell a=7.943 b=7.943 c=7.943 alpha=60.41 beta=60.41 gamma=60.41
Atoms (fractional coordinates):
Li1 0.000 0.000 0.000
Li2 0.135 0.135 0.135
Li3 0.500 0.500 0.500
Li4 0.865 0.865 0.865
Ce1 0.000 0.500 0.500
Ce2 0.500 0.000 0.500
Ce3 0.500 0.500 0.000
S1 0.246 0.246 0.737
S2 0.246 0.737 0.246
S3 0.258 0.258 0.258
S4 0.263 0.754 0.754
S5 0.737 0.246 0.246
S6 0.742 0.742 0.742
S7 0.754 0.263 0.754
S8 0.754 0.754 0.263

Properties
crystal system	trigonal
volume	23.84	Å³ per atom
E_tot	-81.516	eV/cell
spin magnetization	0.00	μB/cell

Look up the spin magnetization of the fifth one. 2.00 μB/cell

spin magnetization of number 3 (Li5Ce3S12)? 9.27 μB/cell